Entry 1:
A plane-wave DFT calculation with PBE was carried out for crystalline KI2O6 at its relaxed geometry.

The value obtained for the spin magnetization is 0.000 μB/atom. The value obtained for the uncorrected formation energy is -547.2 meV/atom. For the calculated volume, the calculation gives 18.98 A^3/atom. The energy above the most stable polymorph in this dataset comes out at 0 meV/atom. As for the total energy: -4.32 eV per atom.

Cell lengths 3.974, 5.938, 8.162 Å; angles 72.42, 75.91, 70.45 degrees
Positions (direct):
K1 0.000 0.500 0.500
I1 0.175 0.790 0.860
I2 0.825 0.210 0.140
O1 0.682 0.719 0.917
O2 0.318 0.281 0.083
O3 0.968 0.876 0.189
O4 0.312 0.729 0.647
O5 0.032 0.124 0.811
O6 0.688 0.271 0.353

=====

Entry 2:
A plane-wave DFT calculation with PBE was carried out for crystalline SrZn9Ni2 at its relaxed geometry.

The value obtained for the spin magnetization is 0.000 μB/atom. The value obtained for the formation energy is -222.6 meV/atom. For the calculated volume, the calculation gives 15.89 A^3/atom. As for the total energy: -2.28 eV per atom.

Cell lengths 6.887, 8.199, 8.199 Å; angles 79.84, 65.16, 65.16 degrees
Positions (direct):
Sr1 0.500 0.000 0.000
Sr2 0.250 0.500 0.500
Zn1 0.750 0.500 0.500
Zn2 0.000 0.000 0.000
Zn3 0.022 0.918 0.673
Zn4 0.612 0.082 0.327
Zn5 0.690 0.173 0.582
Zn6 0.445 0.827 0.418
Zn7 0.728 0.827 0.582
Zn8 0.138 0.173 0.418
Zn9 0.060 0.918 0.327
Zn10 0.305 0.082 0.673
Zn11 0.728 0.582 0.827
Zn12 0.138 0.418 0.173
Zn13 0.060 0.327 0.918
Zn14 0.305 0.673 0.082
Zn15 0.022 0.673 0.918
Zn16 0.612 0.327 0.082
Zn17 0.690 0.582 0.173
Zn18 0.445 0.418 0.827
Ni1 0.875 0.250 0.750
Ni2 0.875 0.750 0.250
Ni3 0.875 0.250 0.250
Ni4 0.375 0.750 0.750

=====

Entry 3:
A plane-wave DFT calculation with PBE was carried out for crystalline BaAgHg2Sb at its relaxed geometry.

The value obtained for the spin magnetization is 0.000 μB/atom. The value obtained for the uncorrected formation energy is -253.7 meV/atom. For the calculated volume, the calculation gives 32.76 A^3/atom. The energy above the most stable polymorph in this dataset comes out at 143 meV/atom. As for the total energy: -2.15 eV per atom.

Cell lengths 5.395, 5.395, 5.627 Å; angles 90.00, 90.00, 90.00 degrees
Positions (direct):
Sb1 0.000 0.000 0.500
Hg1 0.000 0.500 0.000
Hg2 0.500 0.000 0.000
Ag1 0.000 0.000 0.000
Ba1 0.500 0.500 0.500

=====

Entry 4:
A plane-wave DFT calculation with PBE was carried out for crystalline PuHg2Bi at its relaxed geometry.

The value obtained for the spin magnetization is 1.476 μB/atom. The value obtained for the formation energy is -97.2 meV/atom. For the calculated volume, the calculation gives 27.27 A^3/atom. As for the total energy: -4.80 eV per atom.

Cell lengths 4.042, 4.042, 6.677 Å; angles 90.00, 90.00, 90.00 degrees
Site moments in Bohr magnetons follow the coordinates.
Positions (direct):
Hg1 0.000 0.000 0.750  -0.01
Hg2 0.000 0.000 0.250  -0.01
Bi1 0.500 0.500 0.000  0.07
Pu1 0.500 0.500 0.500  -5.55

=====

Entry 5:
A plane-wave DFT calculation with PBE was carried out for crystalline Zn3Cu at its relaxed geometry.

The value obtained for the spin magnetization is 0.000 μB/atom. The value obtained for the formation energy is 15.5 meV/atom. For the calculated volume, the calculation gives 14.43 A^3/atom. As for the total energy: -1.96 eV per atom.

Cell lengths 4.869, 4.869, 4.869 Å; angles 90.00, 90.00, 90.00 degrees
Positions (direct):
Cu1 0.000 0.000 0.000
Cu2 0.500 0.500 0.500
Zn1 0.750 0.500 0.000
Zn2 0.250 0.500 0.000
Zn3 0.000 0.750 0.500
Zn4 0.000 0.250 0.500
Zn5 0.500 0.000 0.250
Zn6 0.500 0.000 0.750

=====

Entry 6:
A plane-wave DFT calculation with PBE was carried out for crystalline Mn2CrFeH at its relaxed geometry.

The value obtained for the spin magnetization is 0.494 μB/atom. For the calculated volume, the calculation gives 9.40 A^3/atom. The energy above the most stable polymorph in this dataset comes out at 26 meV/atom. As for the total energy: -7.90 eV per atom.

Cell lengths 3.599, 3.599, 3.629 Å; angles 90.00, 90.00, 90.00 degrees
Site moments in Bohr magnetons follow the coordinates.
Positions (direct):
Cr1 0.000 0.000 0.500  -1.50
Mn1 0.000 0.500 0.000  1.28
Mn2 0.500 0.000 0.000  1.28
Fe1 0.500 0.500 0.500  1.39
H1 0.000 0.000 0.000  0.00

=====

Entry 7:
A plane-wave DFT calculation with PBE was carried out for crystalline Pr2Sm6Ag at its relaxed geometry.

The value obtained for the spin magnetization is 0.000 μB/atom. The value obtained for the formation energy is 17.5 meV/atom. For the calculated volume, the calculation gives 32.24 A^3/atom. As for the total energy: -4.51 eV per atom.

Cell lengths 5.601, 9.956, 10.408 Å; angles 90.00, 90.00, 90.00 degrees
Positions (direct):
Pr1 0.000 0.316 0.748
Pr2 0.500 0.816 0.752
Pr3 0.500 0.184 0.248
Pr4 0.000 0.684 0.252
Sm1 0.000 0.013 0.190
Sm2 0.000 0.691 0.576
Sm3 0.000 0.637 0.899
Sm4 0.500 0.137 0.601
Sm5 0.500 0.191 0.924
Sm6 0.500 0.513 0.311
Sm7 0.000 0.987 0.810
Sm8 0.000 0.309 0.424
Sm9 0.000 0.363 0.101
Sm10 0.500 0.863 0.399
Sm11 0.500 0.809 0.076
Sm12 0.500 0.487 0.689
Ag1 0.500 0.500 0.000
Ag2 0.000 0.000 0.500

=====

Entry 8:
A plane-wave DFT calculation with PBE was carried out for crystalline Pr3CdRu at its relaxed geometry.

The value obtained for the spin magnetization is 0.000 μB/atom. The value obtained for the formation energy is -166.0 meV/atom. For the calculated volume, the calculation gives 30.55 A^3/atom. The energy above the most stable polymorph in this dataset comes out at 70 meV/atom. As for the total energy: -5.07 eV per atom.

Cell lengths 4.228, 8.577, 8.855 Å; angles 107.91, 90.00, 90.00 degrees
Positions (direct):
Pr1 0.750 0.673 0.407
Pr2 0.250 0.327 0.593
Pr3 0.750 0.315 0.935
Pr4 0.250 0.945 0.731
Pr5 0.250 0.685 0.065
Pr6 0.750 0.055 0.269
Cd1 0.250 0.349 0.221
Cd2 0.750 0.651 0.779
Ru1 0.250 0.899 0.384
Ru2 0.750 0.101 0.616

=====

Entry 9:
A plane-wave DFT calculation with PBE was carried out for crystalline Li2Sb2F7 at its relaxed geometry.

The value obtained for the spin magnetization is 0.087 μB/atom. The value obtained for the uncorrected formation energy is -2377.0 meV/atom. For the calculated volume, the calculation gives 16.40 A^3/atom. The energy above the most stable polymorph in this dataset comes out at 0 meV/atom. As for the total energy: -4.67 eV per atom.

Cell lengths 6.419, 6.419, 11.034 Å; angles 117.03, 117.03, 78.27 degrees
Site moments in Bohr magnetons follow the coordinates.
Positions (direct):
Li1 0.431 0.608 0.397  0.00
Li2 0.392 0.569 0.103  0.00
Li3 0.608 0.431 0.897  0.00
Li4 0.569 0.392 0.603  0.00
Sb1 0.138 0.146 0.181  0.16
Sb2 0.146 0.138 0.681  0.16
Sb3 0.854 0.862 0.319  0.16
Sb4 0.862 0.854 0.819  0.16
F1 0.093 0.627 0.375  0.02
F2 0.282 0.367 0.149  0.01
F3 0.439 0.277 0.385  0.04
F4 0.132 0.868 0.250  0.02
F5 0.627 0.093 0.875  0.02
F6 0.367 0.282 0.649  0.01
F7 0.277 0.439 0.885  0.04
F8 0.723 0.561 0.115  0.04
F9 0.633 0.718 0.351  0.01
F10 0.373 0.907 0.125  0.02
F11 0.868 0.132 0.750  0.02
F12 0.561 0.723 0.615  0.04
F13 0.718 0.633 0.851  0.01
F14 0.907 0.373 0.625  0.02

=====

Entry 10:
A plane-wave DFT calculation with PBE was carried out for crystalline K2RbSrBr at its relaxed geometry.

The value obtained for the spin magnetization is 0.000 μB/atom. The value obtained for the uncorrected formation energy is -520.3 meV/atom. For the calculated volume, the calculation gives 61.48 A^3/atom. The energy above the most stable polymorph in this dataset comes out at 0 meV/atom. As for the total energy: -1.82 eV per atom.

Cell lengths 7.008, 7.008, 6.259 Å; angles 90.00, 90.00, 90.00 degrees
Positions (direct):
Sr1 0.000 0.000 0.500
K1 0.000 0.500 0.000
K2 0.500 0.000 0.000
Br1 0.000 0.000 0.000
Rb1 0.500 0.500 0.500

=====

Entry 11:
A plane-wave DFT calculation with PBE was carried out for crystalline YScTl2 at its relaxed geometry.

The value obtained for the spin magnetization is 0.145 μB/atom. The value obtained for the formation energy is -306.3 meV/atom. For the calculated volume, the calculation gives 25.36 A^3/atom. As for the total energy: -4.69 eV per atom.

Cell lengths 5.499, 5.499, 5.499 Å; angles 127.54, 127.52, 77.39 degrees
Site moments in Bohr magnetons follow the coordinates.
Positions (direct):
Y1 0.750 0.250 0.500  0.14
Sc1 0.250 0.750 0.500  0.25
Tl1 0.000 0.000 0.000  -0.01
Tl2 0.500 0.500 0.000  -0.01

=====

Entry 12:
A plane-wave DFT calculation with PBE was carried out for crystalline La4Ho4Th at its relaxed geometry.

The value obtained for the spin magnetization is 0.000 μB/atom. The value obtained for the formation energy is 34.6 meV/atom. For the calculated volume, the calculation gives 33.76 A^3/atom. As for the total energy: -5.01 eV per atom.

Cell lengths 5.128, 8.113, 8.113 Å; angles 84.27, 71.58, 71.58 degrees
Positions (direct):
La1 0.672 0.328 0.328
La2 0.328 0.672 0.672
La3 0.000 0.672 0.328
La4 0.000 0.328 0.672
Ho1 0.662 0.677 0.000
Ho2 0.338 0.323 0.000
Ho3 0.662 0.000 0.677
Ho4 0.338 0.000 0.323
Th1 0.000 0.000 0.000